{"formula": "UNb4", "functional": "PBE", "state": "relaxed", "magnetic_moment_mub_per_fu": 0.00, "space_group": "Pm-3m", "dos_ef_per_ev_atom": 1.326, "delta_e_f_ev_per_atom": 1.311, "lattice_angstrom": [[4.8478, 0.0000, 0.0000], [0.0000, 4.8478, 0.0000], [0.0000, 0.0000, 4.8478]], "species": ["U", "Nb", "Nb", "Nb", "Nb"], "fractional_positions": [[0.0000, 0.0000, 0.0000], [0.0000, 0.0000, 0.5000], [0.0000, 0.5000, 0.0000], [0.5000, 0.0000, 0.0000], [0.5000, 0.5000, 0.5000]]}

***

{"formula": "Er2Ga5NiRu2", "functional": "PBE", "state": "relaxed", "magnetic_moment_mub_per_fu": 0.00, "space_group": "P4/mbm", "dos_ef_per_ev_atom": 0.669, "delta_e_f_ev_per_atom": -0.389, "lattice_angstrom": [[10.3161, 0.0000, 0.0000], [0.0000, 10.3161, 0.0000], [0.0000, 0.0000, 3.2177]], "species": ["Er", "Er", "Er", "Er", "Ga", "Ga", "Ga", "Ga", "Ga", "Ga", "Ga", "Ga", "Ga", "Ga", "Ni", "Ni", "Ru", "Ru", "Ru", "Ru"], "fractional_positions": [[0.1815, 0.3185, 0.0000], [0.3185, 0.8185, 0.0000], [0.6815, 0.1815, 0.0000], [0.8185, 0.6815, 0.0000], [0.0000, 0.5000, 0.5000], [0.0541, 0.8150, 0.5000], [0.1850, 0.0541, 0.5000], [0.3150, 0.5541, 0.5000], [0.4459, 0.3150, 0.5000], [0.5000, 0.0000, 0.5000], [0.5541, 0.6850, 0.5000], [0.6850, 0.4459, 0.5000], [0.8150, 0.9459, 0.5000], [0.9459, 0.1850, 0.5000], [0.0000, 0.0000, 0.0000], [0.5000, 0.5000, 0.0000], [0.1289, 0.6289, 0.0000], [0.3711, 0.1289, 0.0000], [0.6289, 0.8711, 0.0000], [0.8711, 0.3711, 0.0000]]}

***

{"formula": "PmY5In4", "functional": "PBE", "state": "relaxed", "magnetic_moment_mub_per_fu": 0.00, "space_group": "P4/mmm", "dos_ef_per_ev_atom": 0.805, "delta_e_f_ev_per_atom": -0.400, "lattice_angstrom": [[3.5849, 0.0000, 0.0000], [0.0000, 3.5849, 0.0000], [0.0000, 0.0000, 21.8308]], "species": ["Pm", "Y", "Y", "Y", "Y", "Y", "In", "In", "In", "In"], "fractional_positions": [[0.0000, 0.0000, 0.0000], [0.5000, 0.5000, 0.1184], [0.5000, 0.5000, 0.3085], [0.5000, 0.5000, 0.5000], [0.5000, 0.5000, 0.6915], [0.5000, 0.5000, 0.8816], [0.0000, 0.0000, 0.2128], [0.0000, 0.0000, 0.4043], [0.0000, 0.0000, 0.5957], [0.0000, 0.0000, 0.7872]]}

***

{"formula": "TiPd2Pb", "functional": "PBE", "state": "relaxed", "magnetic_moment_mub_per_fu": 0.00, "space_group": "I-42d", "dos_ef_per_ev_atom": 0.547, "delta_e_f_ev_per_atom": -0.035, "lattice_angstrom": [[-2.0381, 2.0381, 9.3023], [2.0381, -2.0381, 9.3023], [2.0381, 2.0381, -9.3023]], "species": ["Ti", "Ti", "Pd", "Pd", "Pd", "Pd", "Pb", "Pb"], "fractional_positions": [[0.0000, 0.0000, 0.0000], [0.7500, 0.2500, 0.5000], [0.1102, 0.6250, 0.9852], [0.3750, 0.3602, 0.4852], [0.6398, 0.1250, 0.0148], [0.8750, 0.8898, 0.5148], [0.2500, 0.7500, 0.5000], [0.5000, 0.5000, 0.0000]]}

***

{"formula": "Ca5OsN4F2", "functional": "PBE", "state": "relaxed", "magnetic_moment_mub_per_fu": 1.80, "space_group": "Amm2", "formation_energy_uncorrected_mev_per_atom": -1262, "dos_ef_per_ev_atom": 0.324, "lattice_angstrom": [[7.0544, 0.0000, 0.0000], [0.0000, 4.6045, 3.0132], [0.0000, -4.6045, 3.0132]], "species": ["Ca", "Ca", "Ca", "Ca", "Ca", "Os", "N", "N", "N", "N", "F", "F"], "fractional_positions": [[0.0000, 0.0000, 0.0000], [0.2804, 0.3026, 0.6742], [0.2804, 0.6742, 0.3026], [0.7196, 0.3026, 0.6742], [0.7196, 0.6742, 0.3026], [0.5000, 0.0191, 0.0191], [0.2805, 0.1966, 0.1966], [0.5000, 0.6326, 0.9322], [0.5000, 0.9322, 0.6326], [0.7195, 0.1966, 0.1966], [0.0000, 0.0331, 0.5916], [0.0000, 0.5916, 0.0331]]}

***

{"formula": "Rb2LaBF6", "functional": "PBE", "state": "relaxed", "magnetic_moment_mub_per_fu": 0.00, "space_group": "Fm-3m", "formation_energy_uncorrected_mev_per_atom": -2533, "dos_ef_per_ev_atom": 0.000, "lattice_angstrom": [[0.0000, 4.6178, 4.6178], [4.6178, 0.0000, 4.6178], [4.6178, 4.6178, 0.0000]], "species": ["Rb", "Rb", "La", "B", "F", "F", "F", "F", "F", "F"], "fractional_positions": [[0.2500, 0.2500, 0.2500], [0.7500, 0.7500, 0.7500], [0.0000, 0.0000, 0.0000], [0.5000, 0.5000, 0.5000], [0.2501, 0.2501, 0.7499], [0.2501, 0.7499, 0.2501], [0.2501, 0.7499, 0.7499], [0.7499, 0.2501, 0.2501], [0.7499, 0.2501, 0.7499], [0.7499, 0.7499, 0.2501]]}